Record 1
La3Sm5Ho4 after structural relaxation, computed with PBE-GGA.

abc: 16.250 5.993 9.458
angles: 90.00 116.00 90.00
Space group C2/m (No. 12)
Unique sites:
La: 0.000 0.000 0.000
La: 0.173 0.500 0.389
Sm: 0.000 0.500 0.000
Sm: 0.082 0.000 0.447
Sm: 0.216 0.000 0.880
Ho: 0.074 0.500 0.697
Ho: 0.208 0.000 0.228

relative energy among the computed polymorphs = 0 meV per atom

---

Record 2
La2SmHo8 after structural relaxation, computed with PBE-GGA.

abc: 18.221 5.069 7.997
angles: 90.00 105.30 90.00
Space group C2/m (No. 12)
Unique sites:
La: 0.227 0.000 0.137
Sm: 0.000 0.500 0.500
Ho: 0.044 0.000 0.227
Ho: 0.089 0.500 0.954
Ho: 0.135 0.000 0.676
Ho: 0.181 0.500 0.406

relative energy among the computed polymorphs = 0 meV per atom

---

Record 3
LaSm4Ho2 after structural relaxation, computed with PBE-GGA.

abc: 6.592 8.592 8.914
angles: 88.28 82.51 70.90
Space group P1 (No. 1)
Unique sites:
La: 0.000 0.000 0.000
La: 0.409 0.207 0.876
Sm: 0.018 0.558 0.053
Sm: 0.137 0.212 0.291
Sm: 0.177 0.763 0.337
Sm: 0.407 0.634 0.816
Sm: 0.583 0.405 0.146
Sm: 0.699 0.054 0.394
Sm: 0.864 0.788 0.715
Sm: 0.876 0.337 0.714
Ho: 0.290 0.977 0.615
Ho: 0.331 0.416 0.531
Ho: 0.545 0.854 0.094
Ho: 0.715 0.627 0.423

relative energy among the computed polymorphs = 0 meV per atom

---

Record 4
La2Sm2Ho after structural relaxation, computed with PBE-GGA.

abc: 3.601 5.796 33.110
angles: 90.00 90.00 90.00
Space group Imma (No. 74)
Unique sites:
La: 0.000 0.250 0.187
La: 0.000 0.250 0.708
Sm: 0.000 0.250 0.883
Sm: 0.000 0.250 0.979
Ho: 0.000 0.250 0.426

relative energy among the computed polymorphs = 4 meV per atom

---

Record 5
La3Sm12Ho after structural relaxation, computed with PBE-GGA.

abc: 5.155 5.155 20.618
angles: 90.00 90.00 90.00
Space group P4/mmm (No. 123)
Unique sites:
La: 0.000 0.000 0.000
La: 0.000 0.000 0.251
Sm: 0.000 0.500 0.126
Sm: 0.000 0.500 0.378
Sm: 0.500 0.500 0.000
Sm: 0.500 0.500 0.252
Sm: 0.500 0.500 0.500
Ho: 0.000 0.000 0.500

total energy = -75.7 eV per cell

---

Record 6
La2SmHo after structural relaxation, computed with PBE-GGA.

abc: 3.701 3.701 10.127
angles: 90.00 90.00 90.00
Space group P4/mmm (No. 123)
Unique sites:
La: 0.000 0.000 0.246
Sm: 0.500 0.500 0.500
Ho: 0.500 0.500 0.000

relative energy among the computed polymorphs = 11 meV per atom

---

What calculated volume values result from the calculations? In sequence: 34.49 32.39 33.78 34.55 34.25 34.68 A^3/atom.